Computed, not measured: YSc2Hg at its PBEsol-relaxed geometry at the SCAN level of DFT.

## Properties
DOS(E_F) = 4.409 states/eV/f.u.
Magnetization = 0.122 μB/f.u.
Formation enthalpy at 0 K = -6.70 kcal/mol of atoms
Space group = No. 123

```
YSc2Hg
1.0
3.3627 0.0000 0.0000
0.0000 3.3627 0.0000
0.0000 0.0000 8.4538
Sc Hg Y
2 1 1
Direct
0.0000 0.0000 0.7186
0.0000 0.0000 0.2814
0.5000 0.5000 0.5000
0.5000 0.5000 0.0000
```